Version A
The following is a DFT calculation (GGA-PBE) of a relaxed YHfSc crystal. Values from VASP.

The density is 6.65 g/cm³. Its volume is 312 Å³ per cell.

Quantum ESPRESSO input file:
```
&SYSTEM
  ibrav = 0, nat = 12, ntyp = 3
/
ATOMIC_SPECIES
Y 88.91 Y.upf
Hf 178.49 Hf.upf
Sc 44.96 Sc.upf
CELL_PARAMETERS angstrom
-3.721 -1.567 4.527
2.057 -9.156 -1.478
6.167 1.223 1.004
ATOMIC_POSITIONS crystal
Y 0.476 0.363 0.326
Y 0.524 0.637 0.674
Y 0.976 0.137 0.326
Y 0.024 0.863 0.674
Hf 0.544 0.714 0.164
Hf 0.044 0.786 0.164
Hf 0.456 0.286 0.836
Hf 0.956 0.214 0.836
Sc 0.578 0.976 0.784
Sc 0.422 0.024 0.216
Sc 0.078 0.524 0.784
Sc 0.922 0.476 0.216
```



Version B
The following is a DFT calculation (GGA-PBE) of a relaxed YHfSc crystal. Values from VASP.

The density is 6.61 g/cm³. Its volume is 157 Å³ per cell.

Quantum ESPRESSO input file:
```
&SYSTEM
  ibrav = 0, nat = 6, ntyp = 3
/
ATOMIC_SPECIES
Sc 44.96 Sc.upf
Y 88.91 Y.upf
Hf 178.49 Hf.upf
CELL_PARAMETERS angstrom
-3.200 1.917 3.431
1.845 -1.216 2.401
5.959 7.436 1.403
ATOMIC_POSITIONS crystal
Sc 0.750 0.894 0.212
Sc 0.250 0.106 0.788
Y 0.250 0.298 0.403
Y 0.750 0.702 0.597
Hf 0.250 0.465 0.070
Hf 0.750 0.535 0.930
```



Version C
The following is a DFT calculation (GGA-PBE) of a relaxed YHfSc crystal. Values from VASP.

The density is 6.68 g/cm³. Its volume is 78 Å³ per cell.

Quantum ESPRESSO input file:
```
&SYSTEM
  ibrav = 0, nat = 3, ntyp = 3
/
ATOMIC_SPECIES
Y 88.91 Y.upf
Hf 178.49 Hf.upf
Sc 44.96 Sc.upf
CELL_PARAMETERS angstrom
3.291 0.000 0.000
0.000 3.291 0.000
-1.646 -1.646 7.170
ATOMIC_POSITIONS crystal
Y 0.993 0.993 0.986
Hf 0.327 0.327 0.654
Sc 0.680 0.680 0.360
```



Version D
The following is a DFT calculation (GGA-PBE) of a relaxed YHfSc crystal. Values from VASP.

The density is 6.67 g/cm³. Its volume is 156 Å³ per cell.

Quantum ESPRESSO input file:
```
&SYSTEM
  ibrav = 0, nat = 6, ntyp = 3
/
ATOMIC_SPECIES
Y 88.91 Y.upf
Sc 44.96 Sc.upf
Hf 178.49 Hf.upf
CELL_PARAMETERS angstrom
3.325 0.012 -0.251
0.015 4.486 0.415
0.793 3.533 10.701
ATOMIC_POSITIONS crystal
Y 0.477 0.993 0.563
Y 0.977 0.291 0.765
Sc 0.477 0.614 0.942
Sc 0.977 0.670 0.386
Hf 0.477 0.319 0.237
Hf 0.977 0.965 0.091
```



Which is most stable, and by how much? version B, by 1.1 kJ/mol of atoms.



Version A
The following is a DFT calculation (GGA-PBE) of a relaxed YHf2Sc crystal. Values from VASP.

The density is 8.02 g/cm³. Its volume is 203 Å³ per cell.

Quantum ESPRESSO input file:
```
&SYSTEM
  ibrav = 0, nat = 8, ntyp = 3
/
ATOMIC_SPECIES
Sc 44.96 Sc.upf
Hf 178.49 Hf.upf
Y 88.91 Y.upf
CELL_PARAMETERS angstrom
8.132 0.000 0.000
0.000 8.132 0.000
4.066 4.066 3.074
ATOMIC_POSITIONS crystal
Sc 0.500 0.500 0.000
Sc 0.250 0.750 0.500
Hf 0.138 0.625 0.250
Hf 0.612 0.125 0.250
Hf 0.375 0.388 0.750
Hf 0.875 0.862 0.750
Y 0.750 0.250 0.500
Y 0.000 0.000 0.000
```



Version B
The following is a DFT calculation (GGA-PBE) of a relaxed YHf2Sc crystal. Values from VASP.

The density is 8.24 g/cm³. Its volume is 99 Å³ per cell.

Quantum ESPRESSO input file:
```
&SYSTEM
  ibrav = 0, nat = 4, ntyp = 3
/
ATOMIC_SPECIES
Sc 44.96 Sc.upf
Hf 178.49 Hf.upf
Y 88.91 Y.upf
CELL_PARAMETERS angstrom
-2.049 2.951 3.746
0.831 5.124 0.015
-3.885 3.263 -1.099
ATOMIC_POSITIONS crystal
Sc 0.000 0.000 0.000
Hf 0.750 0.750 0.750
Hf 0.250 0.250 0.250
Y 0.500 0.500 0.500
```



Version C
The following is a DFT calculation (GGA-PBE) of a relaxed YHf2Sc crystal. Values from VASP.

The density is 8.28 g/cm³. Its volume is 98 Å³ per cell.

Quantum ESPRESSO input file:
```
&SYSTEM
  ibrav = 0, nat = 4, ntyp = 3
/
ATOMIC_SPECIES
Hf 178.49 Hf.upf
Sc 44.96 Sc.upf
Y 88.91 Y.upf
CELL_PARAMETERS angstrom
3.278 0.000 0.000
1.639 2.839 0.000
1.639 0.946 10.586
ATOMIC_POSITIONS crystal
Hf 0.253 0.253 0.241
Hf 0.081 0.081 0.758
Sc 0.666 0.666 0.001
Y 0.500 0.500 0.500
```



Version D
The following is a DFT calculation (GGA-PBE) of a relaxed YHf2Sc crystal. Values from VASP.

The density is 8.31 g/cm³. Its volume is 98 Å³ per cell.

Quantum ESPRESSO input file:
```
&SYSTEM
  ibrav = 0, nat = 4, ntyp = 3
/
ATOMIC_SPECIES
Y 88.91 Y.upf
Sc 44.96 Sc.upf
Hf 178.49 Hf.upf
CELL_PARAMETERS angstrom
3.246 0.000 0.000
1.623 2.811 0.000
1.623 0.937 10.748
ATOMIC_POSITIONS crystal
Y 0.500 0.500 0.500
Sc 0.000 0.000 0.000
Hf 0.747 0.747 0.759
Hf 0.253 0.253 0.241
```



Which is most stable, and by how much? version C, by 1.7 kJ/mol of atoms.



Version A
The following is a DFT calculation (GGA-PBE) of a relaxed YHfSc4 crystal. Values from VASP.

The density is 4.92 g/cm³. Its volume is 151 Å³ per cell.

Quantum ESPRESSO input file:
```
&SYSTEM
  ibrav = 0, nat = 6, ntyp = 3
/
ATOMIC_SPECIES
Sc 44.96 Sc.upf
Y 88.91 Y.upf
Hf 178.49 Hf.upf
CELL_PARAMETERS angstrom
-3.000 1.292 -0.620
-1.870 -2.310 4.236
3.562 6.429 5.075
ATOMIC_POSITIONS crystal
Sc 0.049 0.503 0.343
Sc 0.286 0.003 0.819
Sc 0.944 0.003 0.133
Sc 0.733 0.503 0.711
Y 0.614 0.003 0.475
Hf 0.393 0.503 0.030
```



Version B
The following is a DFT calculation (GGA-PBE) of a relaxed YHfSc4 crystal. Values from VASP.

The density is 4.80 g/cm³. Its volume is 309 Å³ per cell.

Quantum ESPRESSO input file:
```
&SYSTEM
  ibrav = 0, nat = 12, ntyp = 3
/
ATOMIC_SPECIES
Sc 44.96 Sc.upf
Hf 178.49 Hf.upf
Y 88.91 Y.upf
CELL_PARAMETERS angstrom
5.961 -0.639 0.000
-2.376 8.076 0.000
-1.793 -3.718 6.638
ATOMIC_POSITIONS crystal
Sc 0.032 0.157 0.741
Sc 0.968 0.843 0.259
Sc 0.372 0.905 0.622
Sc 0.791 0.415 0.259
Sc 0.250 0.283 0.378
Sc 0.628 0.095 0.378
Sc 0.750 0.717 0.622
Sc 0.209 0.585 0.741
Hf 0.247 0.997 0.994
Hf 0.753 0.003 0.006
Y 0.664 0.414 0.828
Y 0.336 0.586 0.172
```



Which is most stable, and by how much? version A, by 10.5 kJ/mol of atoms.



Version A
The following is a DFT calculation (GGA-PBE) of a relaxed YHf2Sc2 crystal. Values from VASP.

The density is 7.13 g/cm³. Its volume is 250 Å³ per cell.

Quantum ESPRESSO input file:
```
&SYSTEM
  ibrav = 0, nat = 10, ntyp = 3
/
ATOMIC_SPECIES
Hf 178.49 Hf.upf
Sc 44.96 Sc.upf
Y 88.91 Y.upf
CELL_PARAMETERS angstrom
8.639 0.000 0.000
0.000 8.639 0.000
0.000 0.000 3.344
ATOMIC_POSITIONS crystal
Hf 0.328 0.172 0.500
Hf 0.672 0.828 0.500
Hf 0.828 0.328 0.500
Hf 0.172 0.672 0.500
Sc 0.123 0.377 0.000
Sc 0.377 0.877 0.000
Sc 0.877 0.623 0.000
Sc 0.623 0.123 0.000
Y 0.000 0.000 0.000
Y 0.500 0.500 0.000
```



Version B
The following is a DFT calculation (GGA-PBE) of a relaxed YHf2Sc2 crystal. Values from VASP.

The density is 7.07 g/cm³. Its volume is 252 Å³ per cell.

Quantum ESPRESSO input file:
```
&SYSTEM
  ibrav = 0, nat = 10, ntyp = 3
/
ATOMIC_SPECIES
Sc 44.96 Sc.upf
Y 88.91 Y.upf
Hf 178.49 Hf.upf
CELL_PARAMETERS angstrom
-0.371 1.016 -8.518
3.491 -7.770 -1.079
-3.115 -1.395 -0.031
ATOMIC_POSITIONS crystal
Sc 0.329 0.171 0.500
Sc 0.671 0.829 0.500
Sc 0.829 0.329 0.500
Sc 0.171 0.671 0.500
Y 0.500 0.500 0.000
Y 0.000 0.000 0.000
Hf 0.621 0.121 0.000
Hf 0.379 0.879 0.000
Hf 0.879 0.621 0.000
Hf 0.121 0.379 0.000
```



Which is most stable, and by how much? version B, by 1.8 kJ/mol of atoms.



Version A
The following is a DFT calculation (GGA-PBE) of a relaxed HfScZn4 crystal. Values from VASP.

The density is 7.82 g/cm³. Its volume is 103 Å³ per cell.

Quantum ESPRESSO input file:
```
&SYSTEM
  ibrav = 0, nat = 6, ntyp = 3
/
ATOMIC_SPECIES
Sc 44.96 Sc.upf
Zn 65.41 Zn.upf
Hf 178.49 Hf.upf
CELL_PARAMETERS angstrom
2.963 -1.053 0.015
-1.511 5.150 0.020
-0.055 -0.046 7.535
ATOMIC_POSITIONS crystal
Sc 0.501 0.497 0.998
Zn 0.001 0.497 0.664
Zn 0.501 0.997 0.831
Zn 0.001 0.497 0.332
Zn 0.501 0.997 0.165
Hf 0.001 0.997 0.498
```



Version B
The following is a DFT calculation (GGA-PBE) of a relaxed HfScZn4 crystal. Values from VASP.

The density is 8.01 g/cm³. Its volume is 101 Å³ per cell.

Quantum ESPRESSO input file:
```
&SYSTEM
  ibrav = 0, nat = 6, ntyp = 3
/
ATOMIC_SPECIES
Sc 44.96 Sc.upf
Hf 178.49 Hf.upf
Zn 65.41 Zn.upf
CELL_PARAMETERS angstrom
-0.692 -4.439 -2.658
3.127 -4.085 0.882
-1.856 -4.232 2.426
ATOMIC_POSITIONS crystal
Sc 0.250 0.250 0.250
Hf 0.000 0.000 0.000
Zn 0.625 0.625 0.625
Zn 0.124 0.625 0.625
Zn 0.625 0.124 0.625
Zn 0.625 0.625 0.124
```



Which is most stable, and by how much? version A, by 4.7 kJ/mol of atoms.